(1)
! RbMgInSe3 | Alexandria via LeMat-Bulk | PBE | optimized geometry; values from VASP
&SYSTEM
  ibrav = 0, nat = 12, ntyp = 4
/
ATOMIC_SPECIES
Rb 85.47 Rb.upf
Mg 24.30 Mg.upf
In 114.82 In.upf
Se 78.96 Se.upf
ATOMIC_POSITIONS crystal
Rb 0.2500 0.2352 0.2369
Rb 0.7500 0.7648 0.7631
Mg 0.2500 0.6533 0.0856
Mg 0.7500 0.3467 0.9144
In 0.2500 0.1555 0.6481
In 0.7500 0.8445 0.3519
Se 0.7500 0.8857 0.1307
Se 0.2500 0.1143 0.8693
Se 0.2500 0.8073 0.4901
Se 0.7500 0.1927 0.5099
Se 0.7500 0.5037 0.1694
Se 0.2500 0.4963 0.8306
CELL_PARAMETERS angstrom
4.0999 0.0000 0.0000
0.0000 8.8516 -0.7273
0.0000 -3.2525 10.4965
! **Formation energy (no corrections)**: -0.948 eV/atom
! **SG**: No. 11
! **Total magnetic moment**: 0.0 μB/f.u.

---

(2)
! Rb2MgIn4Sn3 | Alexandria via LeMat-Bulk | PBE | optimized geometry; values from VASP
&SYSTEM
  ibrav = 0, nat = 10, ntyp = 4
/
ATOMIC_SPECIES
Rb 85.47 Rb.upf
Mg 24.30 Mg.upf
In 114.82 In.upf
Sn 118.71 Sn.upf
ATOMIC_POSITIONS crystal
Rb 0.5000 0.0000 0.2456
Rb 0.0000 0.5000 0.7544
Mg 0.5000 0.5000 0.5000
In 0.5000 0.5000 0.0000
In 0.0000 0.0000 0.0000
In 0.5000 0.0000 0.6318
In 0.0000 0.5000 0.3682
Sn 0.0000 0.0000 0.5000
Sn 0.5000 0.0000 0.8691
Sn 0.0000 0.5000 0.1309
CELL_PARAMETERS angstrom
-1.7519 4.7948 -0.5481
0.4874 -0.4043 -5.0950
-11.5732 -4.3159 -0.7646
! **SG**: No. 115
! **Formation energy**: -136 meV/atom
! **Total magnetic moment**: 0.0 μB/f.u.

---

(3)
! Rb2MgIn3Sn4 | Alexandria via LeMat-Bulk | PBE | optimized geometry; values from VASP
&SYSTEM
  ibrav = 0, nat = 10, ntyp = 4
/
ATOMIC_SPECIES
Rb 85.47 Rb.upf
Mg 24.30 Mg.upf
In 114.82 In.upf
Sn 118.71 Sn.upf
ATOMIC_POSITIONS crystal
Rb 0.5000 0.0000 0.2506
Rb 0.0000 0.5000 0.7494
Mg 0.5000 0.5000 0.5000
In 0.0000 0.0000 0.5000
In 0.5000 0.0000 0.8674
In 0.0000 0.5000 0.1326
Sn 0.5000 0.5000 0.0000
Sn 0.0000 0.0000 0.0000
Sn 0.5000 0.0000 0.6287
Sn 0.0000 0.5000 0.3713
CELL_PARAMETERS angstrom
-3.7257 -3.2127 1.5354
3.1553 -1.9487 3.5787
-3.9038 8.3435 7.9853
! **SG**: No. 115
! **Formation energy**: -168 meV/atom
! **Total magnetic moment**: 0.0 μB/f.u.

---

Q: Which value of total magnetic moment does entry 1 give?
A: 0.0 μB/f.u.